## Sr2Li2Rh (GGA-PBE)

Data for Sr2Li2Rh after structural relaxation.

Structure (extended XYZ):
```
5
Lattice="3.734 0.000 0.000 0.000 3.734 0.000 1.867 1.867 9.983" Properties=species:S:1:pos:R:3 pbc="T T T"
Li 1.867 3.734 4.992
Rh 0.000 0.000 0.000
Sr 3.734 3.734 8.225
Sr 1.867 1.867 1.758
Li 3.734 1.867 4.992
```

density	3.48	Mg/m³
excess energy over the best structure of this formula in the dataset	54	meV per atom
space group	No. 139

=====

## SrLiRh (GGA-PBE)

Data for SrLiRh after structural relaxation.

Structure (extended XYZ):
```
6
Lattice="-1.433 -3.415 -2.435 4.063 -4.235 -0.486 2.128 -4.752 5.414" Properties=species:S:1:pos:R:3 pbc="T T T"
Li 1.097 -5.842 2.349
Rh 1.316 -7.241 0.148
Sr 4.044 -6.559 1.611
Rh 3.327 -6.934 -1.483
Sr 2.032 -4.201 -0.510
Li 3.044 -5.435 4.650
```

density	4.69	Mg/m³
excess energy over the best structure of this formula in the dataset	2	meV per atom
space group	No. 2

=====

## SrLi3Rh (GGA-PBE)

Data for SrLi3Rh after structural relaxation.

Structure (extended XYZ):
```
20
Lattice="-3.784 -4.930 0.475 4.585 -5.127 5.493 -3.088 1.021 8.180" Properties=species:S:1:pos:R:3 pbc="T T T"
Li -0.514 -4.820 9.655
Li 0.397 -7.298 10.976
Li -2.684 -1.738 3.171
Li 0.139 -3.915 2.371
Sr -1.099 -6.544 6.845
Li -1.772 -4.216 4.492
Sr -5.236 -3.229 8.294
Sr 2.949 -5.807 5.853
Sr -1.188 -2.492 7.302
Li -4.525 -4.159 3.579
Rh -3.591 -4.565 6.333
Li -2.369 -7.315 9.879
Li 0.083 -1.721 4.268
Li 2.238 -4.877 10.568
Li -2.426 -5.121 11.776
Li -0.432 -2.652 11.692
Li -1.854 -6.384 2.455
Rh -3.025 -4.983 8.905
Rh 0.739 -4.053 5.242
Rh 1.305 -4.471 7.814
```

density	3.17	Mg/m³
excess energy over the best structure of this formula in the dataset	9	meV per atom
space group	No. 15

=====

## SrLi2Rh (GGA-PBE)

Data for SrLi2Rh after structural relaxation.

Structure (extended XYZ):
```
8
Lattice="-3.358 0.895 2.637 -2.739 -1.808 -2.874 -1.949 -8.910 4.152" Properties=species:S:1:pos:R:3 pbc="T T T"
Sr -3.049 -0.457 -0.119
Li -0.854 -2.447 0.698
Sr -3.868 -5.588 0.580
Li -4.693 -2.693 1.200
Li -5.440 -8.142 1.250
Rh -4.178 -4.236 3.335
Li -5.105 -6.365 4.682
Rh 0.000 0.000 0.000
```

density	3.74	Mg/m³
excess energy over the best structure of this formula in the dataset	238	meV per atom
space group	No. 122

=====

## SrLiRh2 (GGA-PBE)

Data for SrLiRh2 after structural relaxation.

Structure (extended XYZ):
```
4
Lattice="5.782 0.001 0.000 2.837 5.038 0.000 -3.684 -3.590 2.641" Properties=species:S:1:pos:R:3 pbc="T T T"
Rh 8.537 4.991 0.000
Rh 3.462 -0.383 1.320
Li 1.492 1.844 1.320
Sr 4.373 2.557 0.000
```

density	6.48	Mg/m³
calculated total energy	-17.9	eV for the cell shown
space group	No. 44

=====

## SrLiRh (GGA-PBE)

Data for SrLiRh after structural relaxation.

Structure (extended XYZ):
```
3
Lattice="-2.041 -4.236 0.202 2.623 -3.846 0.695 -0.240 -2.304 4.097" Properties=species:S:1:pos:R:3 pbc="T T T"
Li 0.171 -5.193 2.497
Sr 0.000 0.000 0.000
Rh 0.256 -7.790 3.745
```

density	4.45	Mg/m³
excess energy over the best structure of this formula in the dataset	185	meV per atom
space group	No. 216